[1]
VASP calculation (PBE) on a geometry-optimized BC structure.

Raw total energy: -7.51 eV per atom
Magnetization: 0.00 μB/f.u.
Formation energy from the elements: 0.444 eV per atom

Cell lengths 4.4665, 4.4665, 4.7251 Å; angles 129.37, 129.37, 76.15 degrees
Closest atoms and distances in Å follow each position.
Fractional positions:
B1 0.3294 0.8509 0.9278  2 C 1.59-1.63
B2 0.1009 0.0794 0.4278  2 C 1.59-1.63
B3 0.5456 0.5241 0.0722  2 C 1.59-1.63
B4 0.7741 0.2956 0.5722  2 C 1.59-1.63
C1 0.8837 0.3700 0.0080  2 C 1.55-1.56, 2 B 1.59-1.63
C2 0.6200 0.6337 0.5080  2 C 1.55-1.56, 2 B 1.59-1.63
C3 0.2550 0.7413 0.4920  2 C 1.55-1.56, 2 B 1.59-1.63
C4 0.9913 0.0050 0.9920  2 C 1.55-1.56, 2 B 1.59-1.63

***

[2]
VASP calculation (PBE) on a geometry-optimized B3C2 structure.

Raw total energy: -7.26 eV per atom
Magnetization: 0.00 μB/f.u.
Formation energy from the elements: 0.440 eV per atom

Cell lengths 6.8945, 6.8945, 4.2323 Å; angles 72.18, 72.18, 21.68 degrees
Closest atoms and distances in Å follow each position.
Fractional positions:
B1 0.7121 0.7121 0.5245  1 C 1.65, 1 B 1.76
B2 0.2008 0.2008 0.8499  2 C 1.62-1.63
B3 0.6160 0.6160 0.3252  2 C 1.54
B4 0.0089 0.0089 0.9980  1 C 1.52
B5 0.4875 0.4875 0.7341  1 C 1.53
B6 0.8776 0.8776 0.4178  3 C 1.58-1.67
C1 0.3054 0.3054 0.9647  3 C 1.54-1.60, 1 B 1.63
C2 0.8046 0.8046 0.1639  2 C 1.54, 2 B 1.65-1.67
C3 0.0944 0.0944 0.1623  4 B 1.52-1.62
C4 0.3927 0.3927 0.6097  3 B 1.53-1.58, 1 C 1.60

***

[3]
VASP calculation (PBE) on a geometry-optimized B7C5 structure.

Raw total energy: -7.24 eV per atom
Magnetization: 0.00 μB/f.u.
Formation energy from the elements: 0.503 eV per atom

Cell lengths 2.6680, 2.6680, 15.0520 Å; angles 90.00, 90.00, 120.00 degrees
Closest atoms and distances in Å follow each position.
Fractional positions:
B1 0.6667 0.3333 0.2966  1 C 1.52
B2 0.3333 0.6667 0.7163  3 B 1.63
B3 0.6667 0.3333 0.7508  4 B 1.63-1.73
B4 0.3333 0.6667 0.1511  4 C 1.61-1.68
B5 0.0000 0.0000 0.3656  1 C 1.57
B6 0.3333 0.6667 0.4775  3 C 1.54
B7 0.6667 0.3333 0.8660  3 C 1.67, 1 B 1.73
C1 0.0000 0.0000 0.4697  4 B 1.54-1.57
C2 0.0000 0.0000 0.9085  1 C 1.50, 3 B 1.67
C3 0.3333 0.6667 0.0442  1 B 1.61, 3 C 1.63
C4 0.0000 0.0000 0.0083  4 C 1.50-1.63
C5 0.6667 0.3333 0.1954  4 B 1.52-1.68

***

[4]
VASP calculation (PBE) on a geometry-optimized BC structure.

Raw total energy: -7.58 eV per atom
Magnetization: 0.00 μB/f.u.
Formation energy from the elements: 0.368 eV per atom

Cell lengths 4.4119, 4.4119, 8.4932 Å; angles 118.78, 118.78, 33.78 degrees
Closest atoms and distances in Å follow each position.
Fractional positions:
C1 0.8376 0.8376 0.5360  2 C 1.48-1.58, 2 B 1.61
C2 0.1738 0.1738 0.7003  3 C 1.53-1.58, 1 B 1.63
C3 0.1669 0.1669 0.2464  2 C 1.53, 2 B 1.59-1.66
C4 0.9958 0.9958 0.5057  2 C 1.48-1.58, 2 B 1.61
C5 0.6596 0.6596 0.3413  3 C 1.53-1.58, 1 B 1.63
C6 0.6665 0.6665 0.7952  2 C 1.53, 2 B 1.59-1.66
B1 0.2700 0.2700 0.1337  1 C 1.59, 2 B 1.76
B2 0.4976 0.4976 0.3920  3 C 1.61-1.63
B3 0.5633 0.5633 0.9080  1 C 1.59, 2 B 1.76
B4 0.0198 0.0198 0.0231  1 C 1.66, 4 B 1.72-1.83
B5 0.3357 0.3357 0.6497  3 C 1.61-1.63
B6 0.8136 0.8136 0.0186  1 C 1.66, 4 B 1.72-1.83

***

[5]
VASP calculation (PBE) on a geometry-optimized BC structure.

Raw total energy: -7.57 eV per atom
Magnetization: 0.00 μB/f.u.
Formation energy from the elements: 0.381 eV per atom

Cell lengths 4.5805, 4.4568, 5.4481 Å; angles 96.59, 98.66, 45.39 degrees
Closest atoms and distances in Å follow each position.
Fractional positions:
C1 0.2760 0.7644 0.7527  2 C 1.55-1.56, 2 B 1.57-1.63
C2 0.2994 0.3099 0.1364  2 C 1.53-1.54, 1 B 1.54
C3 0.6628 0.6880 0.8431  3 C 1.52-1.58, 1 B 1.60
C4 0.3667 0.3604 0.6807  2 C 1.55-1.57, 2 B 1.62-1.74
C5 0.5707 0.0852 0.9194  3 C 1.52-1.57, 1 B 1.59
C6 0.9095 0.3934 0.0771  2 C 1.53-1.58, 2 B 1.58-1.61
B1 0.6733 0.5920 0.3242  1 C 1.61, 2 B 1.70-1.78
B2 0.2288 0.6736 0.2763  1 C 1.54, 1 B 1.71
B3 0.0164 0.0516 0.5044  1 C 1.63, 2 B 1.71-1.80
B4 0.9628 0.0198 0.9555  3 C 1.57-1.59
B5 0.6070 0.0555 0.4195  2 C 1.74-1.78, 2 B 1.85-1.88
B6 0.9267 0.5062 0.6108  2 C 1.60-1.62, 1 B 1.70

***

[6]
VASP calculation (PBE) on a geometry-optimized B3C5 structure.

Raw total energy: -7.88 eV per atom
Magnetization: 0.00 μB/f.u.
Formation energy from the elements: 0.392 eV per atom

Cell lengths 4.6757, 4.6757, 4.6757 Å; angles 134.07, 134.07, 66.97 degrees
Closest atoms and distances in Å follow each position.
Fractional positions:
C1 0.1265 0.1265 0.4835  1 C 1.54, 3 B 1.61-1.66
C2 0.8735 0.3571 0.0000  1 C 1.54, 3 B 1.61-1.66
C3 0.3571 0.8735 0.0000  1 C 1.54, 3 B 1.61-1.66
C4 0.0000 0.0000 0.0000  4 C 1.54
C5 0.6429 0.6429 0.5165  1 C 1.54, 3 B 1.61-1.66
B1 0.7500 0.2500 0.5000  4 C 1.66
B2 0.5000 0.5000 0.0000  4 C 1.61
B3 0.2500 0.7500 0.5000  4 C 1.66

***

[7]
VASP calculation (PBE) on a geometry-optimized BC structure.

Raw total energy: -7.48 eV per atom
Magnetization: 0.00 μB/f.u.
Formation energy from the elements: 0.474 eV per atom

Cell lengths 2.6332, 2.6332, 15.0078 Å; angles 90.00, 90.00, 120.00 degrees
Closest atoms and distances in Å follow each position.
Fractional positions:
C1 0.3333 0.6667 0.6482  3 B 1.53, 1 C 1.56
C2 0.0000 0.0000 0.0139  4 C 1.61-1.63
C3 0.3333 0.6667 0.5445  1 C 1.56, 3 B 1.67
C4 0.0000 0.0000 0.9052  3 B 1.53, 1 C 1.63
C5 0.3333 0.6667 0.1493  1 C 1.50, 3 B 1.67
C6 0.3333 0.6667 0.0494  4 C 1.50-1.61
B1 0.6667 0.3333 0.3091  4 B 1.70-1.90
B2 0.6667 0.3333 0.1959  3 C 1.67, 1 B 1.70
B3 0.6667 0.3333 0.6608  3 C 1.53
B4 0.0000 0.0000 0.4977  3 C 1.67, 1 B 1.70
B5 0.0000 0.0000 0.3846  4 B 1.70-1.90
B6 0.6667 0.3333 0.8913  3 C 1.53

***

[8]
VASP calculation (PBE) on a geometry-optimized BC structure.

Raw total energy: -7.58 eV per atom
Magnetization: 0.00 μB/f.u.
Formation energy from the elements: 0.369 eV per atom

Cell lengths 2.4853, 4.9473, 6.5990 Å; angles 100.38, 90.00, 90.00 degrees
Closest atoms and distances in Å follow each position.
Fractional positions:
B1 0.0000 0.9962 0.2890  2 C 1.65, 2 B 1.74-1.78
B2 0.0000 0.0097 0.0218  1 C 1.75, 3 B 1.78-1.84
B3 0.0000 0.2803 0.5583  2 C 1.65, 1 B 1.79
B4 0.0000 0.3514 0.3023  2 C 1.64, 2 B 1.74-1.79
B5 0.0000 0.6676 0.6744  3 C 1.66
B6 0.5000 0.2030 0.9009  2 C 1.54-1.61
C1 0.5000 0.8101 0.3535  2 C 1.47-1.49, 2 B 1.65
C2 0.5000 0.8334 0.5818  2 C 1.49, 2 B 1.66
C3 0.5000 0.5295 0.2317  2 C 1.47-1.54, 2 B 1.64
C4 0.0000 0.6575 0.9245  2 C 1.52, 1 B 1.66
C5 0.5000 0.1353 0.6633  1 C 1.49, 3 B 1.54-1.65
C6 0.5000 0.5260 0.9985  3 C 1.52-1.54, 1 B 1.61

***

[9]
VASP calculation (PBE) on a geometry-optimized B3C structure.

Raw total energy: -6.91 eV per atom
Magnetization: 0.00 μB/f.u.
Formation energy from the elements: 0.399 eV per atom

Cell lengths 6.9163, 6.9163, 4.8511 Å; angles 77.42, 77.42, 22.51 degrees
Closest atoms and distances in Å follow each position.
Fractional positions:
B1 0.6760 0.6760 0.6625  2 C 1.57-1.60
B2 0.3241 0.3241 0.8344  3 C 1.56-1.68
B3 0.0866 0.0866 0.1377  5 B 1.69-1.80
B4 0.0047 0.0047 0.4754  4 B 1.73-1.93
B5 0.0786 0.0786 0.7716  5 B 1.80-1.93
B6 0.4692 0.4692 0.6978  1 C 1.66, 2 B 1.73
B7 0.2976 0.2976 0.2574  3 C 1.55-1.66
B8 0.9674 0.9674 0.0843  2 C 1.60, 1 B 1.69
B9 0.6738 0.6738 0.1148  2 C 1.67-1.68, 2 B 1.78
C1 0.4098 0.4098 0.0366  5 B 1.60-1.68
C2 0.7674 0.7674 0.8217  4 B 1.56-1.68
C3 0.7449 0.7449 0.3559  4 B 1.55-1.67

***

[10]
VASP calculation (PBE) on a geometry-optimized BC structure.

Raw total energy: -7.55 eV per atom
Magnetization: 0.00 μB/f.u.
Formation energy from the elements: 0.398 eV per atom

Cell lengths 2.5403, 4.2099, 8.0681 Å; angles 85.47, 90.00, 90.00 degrees
Closest atoms and distances in Å follow each position.
Fractional positions:
C1 0.5000 0.5201 0.8321  3 C 1.50-1.53
C2 0.5000 0.7299 0.6679  3 C 1.50-1.53
C3 0.0000 0.9076 0.6288  2 C 1.50, 1 B 1.52
C4 0.5000 0.7242 0.3221  1 C 1.48, 3 B 1.56-1.61
C5 0.5000 0.5258 0.1779  1 C 1.48, 3 B 1.56-1.61
C6 0.0000 0.3424 0.8712  2 C 1.50, 1 B 1.52
B1 0.0000 0.0501 0.9942  1 C 1.52
B2 0.0000 0.3239 0.1490  2 C 1.56
B3 0.5000 0.7368 0.0028  2 C 1.61-1.71
B4 0.0000 0.1999 0.5058  1 C 1.52
B5 0.5000 0.5132 0.4972  2 C 1.61-1.71
B6 0.0000 0.9261 0.3510  2 C 1.56

***

[11]
VASP calculation (PBE) on a geometry-optimized B7C5 structure.

Raw total energy: -7.35 eV per atom
Magnetization: 0.00 μB/f.u.
Formation energy from the elements: 0.392 eV per atom

Cell lengths 6.8736, 6.8736, 5.0463 Å; angles 101.26, 101.26, 20.47 degrees
Closest atoms and distances in Å follow each position.
Fractional positions:
C1 0.6006 0.6006 0.0493  2 C 1.52-1.53, 2 B 1.61
C2 0.6703 0.6703 0.8479  3 C 1.48-1.52, 1 B 1.63
C3 0.2389 0.2389 0.3621  2 C 1.51, 2 B 1.63-1.65
C4 0.6720 0.6720 0.3267  3 C 1.51-1.53, 1 B 1.60
C5 0.2331 0.2331 0.8648  2 C 1.48, 1 B 1.62
B1 0.3188 0.3188 0.1603  2 C 1.63-1.70, 2 B 1.79
B2 0.0218 0.0218 0.0027  2 C 1.61, 1 B 1.76
B3 0.3130 0.3130 0.6642  2 C 1.62-1.65, 2 B 1.81
B4 0.0013 0.0013 0.5090  4 B 1.80-1.85
B5 0.6005 0.6005 0.5444  2 C 1.60-1.63
B6 0.9167 0.9167 0.1733  4 B 1.79-1.85
B7 0.9131 0.9131 0.7452  4 B 1.76-1.85

***

[12]
VASP calculation (PBE) on a geometry-optimized BC structure.

Raw total energy: -7.50 eV per atom
Magnetization: 0.00 μB/f.u.
Formation energy from the elements: 0.451 eV per atom

Cell lengths 4.6991, 4.6991, 4.3445 Å; angles 97.36, 97.36, 120.47 degrees
Closest atoms and distances in Å follow each position.
Fractional positions:
C1 0.8805 0.8806 0.6129  1 C 1.52, 2 B 1.63-1.64
C2 0.5472 0.2138 0.6129  1 C 1.52, 2 B 1.63-1.64
C3 0.9725 0.9851 0.9739  2 C 1.52-1.54, 2 B 1.58-1.60
C4 0.2181 0.5514 0.6835  4 B 1.65-1.69
C5 0.7258 0.0591 0.1133  2 C 1.54, 2 B 1.62-1.64
C6 0.6518 0.3059 0.9739  2 C 1.52-1.54, 2 B 1.58-1.60
B1 0.2029 0.8383 0.5124  3 C 1.63-1.73
B2 0.9782 0.6824 0.0923  2 C 1.58-1.60
B3 0.3658 0.6991 0.0739  2 C 1.64-1.66, 2 B 1.80
B4 0.8532 0.1866 0.4962  4 C 1.62-1.69
B5 0.5049 0.5362 0.5124  3 C 1.63-1.73
B6 0.3490 0.3115 0.0923  2 C 1.58-1.60